A relaxed VReO2 crystal. Source: the Alexandria database, functional GGA+U.

Properties
- total moment (μB per atom) = 0.233
- E above lowest polymorph (meV/atom) = 565

a b c (Å): 3.905 3.905 6.671
angles (deg): 72.98 72.98 90.00
Site moments in Bohr magnetons follow the coordinates.
Fractional positions:
Re 0.000 0.000 0.000  -0.67
Re 0.750 0.250 0.500  -0.67
O 0.629 0.125 0.250  -0.04
O 0.121 0.625 0.250  -0.04
O 0.375 0.371 0.750  -0.04
O 0.875 0.879 0.750  -0.04
V 0.500 0.500 0.000  1.64
V 0.250 0.750 0.500  1.64